1.
First-principles (PBE-GGA) data for CeErSc2Se4 after structural relaxation, as listed in the Alexandria database.

Summary:
E = -50.44 eV per formula unit
ΔE_f (raw) = -1.667 eV/atom
crystal system = monoclinic
volume = 22.6 A^3/atom

Cell: 6.9389 3.9696 6.9464 Å, 90.00 109.06 90.00°
Space group P2/m (No. 10)
One atom of each set of equivalent atoms:
Ce 0.0000 0.0000 0.0000 x1
Er 0.5000 0.5000 0.0000 x1
Sc 0.0000 0.5000 0.5000 x1
Sc 0.5000 0.0000 0.5000 x1
Se 0.2512 0.0000 0.7338 x2
Se 0.2641 0.5000 0.2714 x2


2.
First-principles (PBE-GGA) data for Ce4ErSc3Se8 after structural relaxation, as listed in the Alexandria database.

Summary:
E = -102.63 eV per formula unit
ΔE_f (raw) = -1.716 eV/atom
crystal system = trigonal
volume = 23.7 A^3/atom

Cell: 8.0362 8.0362 20.3252 Å, 90.00 90.00 120.00°
Space group R-3m (No. 166, hexagonal axes)
One atom of each set of equivalent atoms:
Ce 0.0000 0.0000 0.0000 x3
Ce 0.0000 0.5000 0.0000 x9
Er 0.0000 0.0000 0.5000 x3
Sc 0.0000 0.5000 0.5000 x9
Se 0.0000 0.0000 0.2411 x6
Se 0.0060 0.5030 0.7577 x18


3.
First-principles (PBE-GGA) data for Ce2ErScSe6 after structural relaxation, as listed in the Alexandria database.

Summary:
E = -61.10 eV per formula unit
ΔE_f (raw) = -1.743 eV/atom
crystal system = trigonal
volume = 29.0 A^3/atom

Cell: 7.2604 7.2604 19.0519 Å, 90.00 90.00 120.00°
Space group R3 (No. 146, hexagonal axes)
One atom of each set of equivalent atoms:
Ce 0.0000 0.0000 0.0000 x3
Ce 0.0000 0.0000 0.4988 x3
Er 0.0000 0.0000 0.2016 x3
Sc 0.0000 0.0000 0.6996 x3
Se 0.0494 0.3419 0.7734 x9
Se 0.0543 0.6975 0.2758 x9


4.
First-principles (PBE-GGA) data for CeEr2ScSe6 after structural relaxation, as listed in the Alexandria database.

Summary:
E = -59.87 eV per formula unit
ΔE_f (raw) = -1.757 eV/atom
crystal system = trigonal
volume = 28.4 A^3/atom

Cell: 7.1501 7.1501 19.2694 Å, 90.00 90.00 120.00°
Space group R3 (No. 146, hexagonal axes)
One atom of each set of equivalent atoms:
Ce 0.0000 0.0000 0.0000 x3
Er 0.0000 0.0000 0.1965 x3
Er 0.0000 0.0000 0.7025 x3
Sc 0.0000 0.0000 0.5079 x3
Se 0.0107 0.3572 0.7704 x9
Se 0.0489 0.6847 0.2674 x9


5.
First-principles (PBE-GGA) data for Tb6CeEr3Sc2 after structural relaxation, as listed in the Alexandria database.

Summary:
E = -59.42 eV per formula unit
crystal system = monoclinic
volume = 30.2 A^3/atom

Cell: 6.0554 10.4848 11.5839 Å, 90.00 100.03 90.00°
Space group C2/m (No. 12)
One atom of each set of equivalent atoms:
Tb 0.2486 0.0000 0.2463 x4
Tb 0.2489 0.3333 0.2462 x8
Ce 0.0000 0.5000 0.0000 x2
Er 0.0000 0.0000 0.5000 x2
Er 0.0000 0.3323 0.5000 x4
Sc 0.0000 0.1664 0.0000 x4


6.
First-principles (PBE-GGA) data for TbCeEr3Sc after structural relaxation, as listed in the Alexandria database.

Summary:
E = -30.17 eV per formula unit
crystal system = orthorhombic
volume = 29.7 A^3/atom

Cell: 4.9270 14.7280 9.8354 Å, 90.00 90.00 90.00°
Space group Cmcm (No. 63)
One atom of each set of equivalent atoms:
Tb 0.0000 0.0000 0.0000 x4
Ce 0.0000 0.4986 0.2500 x4
Er 0.0000 0.1694 0.2500 x4
Er 0.0000 0.3339 0.0008 x8
Sc 0.0000 0.1669 0.7500 x4


7.
First-principles (PBE-GGA) data for Tb2CeErSc after structural relaxation, as listed in the Alexandria database.

Summary:
E = -24.79 eV per formula unit
crystal system = orthorhombic
volume = 30.3 A^3/atom

Cell: 5.7804 7.6447 6.8493 Å, 90.00 90.00 90.00°
Space group Pmma (No. 51)
One atom of each set of equivalent atoms:
Tb 0.2500 0.2088 0.1760 x4
Ce 0.0000 0.5000 0.5000 x2
Er 0.2500 0.0000 0.6601 x2
Sc 0.2500 0.5000 0.8951 x2


8.
First-principles (PBE-GGA) data for Ce2ErScTe4 after structural relaxation, as listed in the Alexandria database.

Summary:
E = -45.47 eV per formula unit
ΔE_f (raw) = -1.267 eV/atom
crystal system = monoclinic
volume = 29.5 A^3/atom

Cell: 7.4940 4.3105 7.7090 Å, 90.00 108.72 90.00°
Space group P2/m (No. 10)
One atom of each set of equivalent atoms:
Ce 0.0000 0.0000 0.0000 x1
Ce 0.5000 0.5000 0.0000 x1
Er 0.0000 0.5000 0.5000 x1
Sc 0.5000 0.0000 0.5000 x1
Te 0.2496 0.0000 0.7320 x2
Te 0.2628 0.5000 0.2717 x2